Computed, not measured: a relaxed CaZn2Pd4 crystal at the GGA-PBE level of DFT. Values from VASP.

Calculated values
As for the formation energy: -529 meV/atom. As for the magnetization: 0.0 μB/f.u.

Quantum ESPRESSO input file:
```
&SYSTEM
  ibrav = 0, nat = 14, ntyp = 3
/
ATOMIC_SPECIES
Ca 40.08 Ca.upf
Zn 65.41 Zn.upf
Pd 106.42 Pd.upf
ATOMIC_POSITIONS angstrom
Ca 0.0000 0.0000 0.0000
Ca -2.9718 -3.6934 -2.0790
Zn 0.1216 -2.9729 1.5373
Zn -1.1515 -0.6198 2.7471
Zn -4.1233 -4.3132 0.6681
Zn -4.5677 -1.5141 -0.0992
Pd -5.3872 -4.3982 -3.2505
Pd -6.2606 -3.4728 -0.6445
Pd -7.1193 -0.8967 -0.4232
Pd -5.2454 -1.5303 -2.5440
Pd -0.6981 -5.8566 -1.6140
Pd -1.5716 -4.9307 0.9921
Pd -2.4304 -2.3546 1.2134
Pd -0.5563 -2.9886 -0.9075
CELL_PARAMETERS angstrom
-7.6610 -2.2346 -3.7155
1.7175 -5.1522 -0.4426
-2.7474 1.5595 4.7269
```

***

Computed, not measured: a relaxed CaZn4Pd crystal at the GGA-PBE level of DFT. Values from VASP.

Calculated values
As for the formation energy: -373 meV/atom. As for the magnetization: 0.0 μB/f.u.

Quantum ESPRESSO input file:
```
&SYSTEM
  ibrav = 0, nat = 6, ntyp = 3
/
ATOMIC_SPECIES
Zn 65.41 Zn.upf
Ca 40.08 Ca.upf
Pd 106.42 Pd.upf
ATOMIC_POSITIONS angstrom
Zn -3.4266 1.0053 -4.8433
Zn -5.2028 0.4461 -2.9904
Zn -5.7491 -0.0209 -5.5171
Zn -3.9752 -1.4972 -4.2623
Ca -2.2942 -0.0083 -2.2016
Pd 0.0000 0.0000 0.0000
CELL_PARAMETERS angstrom
-3.5064 2.9180 -2.4803
-1.0799 -0.9230 -4.9944
-4.5906 -2.0284 -1.3318
```

***

Computed, not measured: a relaxed CaZnPd2 crystal at the GGA-PBE level of DFT. Values from VASP.

Calculated values
As for the formation energy: -557 meV/atom. As for the magnetization: 0.0 μB/f.u.

Quantum ESPRESSO input file:
```
&SYSTEM
  ibrav = 0, nat = 4, ntyp = 3
/
ATOMIC_SPECIES
Zn 65.41 Zn.upf
Ca 40.08 Ca.upf
Pd 106.42 Pd.upf
ATOMIC_POSITIONS angstrom
Zn 0.4596 -1.2080 1.9122
Ca 3.3076 0.5270 2.3238
Pd 4.5077 2.7461 0.6514
Pd 1.1883 0.7239 0.1717
CELL_PARAMETERS angstrom
-0.6758 0.3565 3.1734
1.5949 -2.7725 0.6511
5.6961 3.4700 0.8232
```

***

Computed, not measured: a relaxed Ca3Zn2Pd6 crystal at the GGA-PBE level of DFT. Values from VASP.

Calculated values
As for the formation energy: -656 meV/atom. As for the magnetization: 0.0 μB/f.u.

Quantum ESPRESSO input file:
```
&SYSTEM
  ibrav = 0, nat = 22, ntyp = 3
/
ATOMIC_SPECIES
Ca 40.08 Ca.upf
Zn 65.41 Zn.upf
Pd 106.42 Pd.upf
ATOMIC_POSITIONS angstrom
Ca -5.9133 0.1810 3.1012
Ca -2.5606 0.0784 1.3429
Ca 0.3734 -2.7327 0.8714
Ca 0.8622 -6.3107 2.0122
Ca -1.2924 -0.9447 -2.4091
Ca -2.9845 -2.1817 -5.5633
Zn 1.3581 -3.1073 -2.3833
Zn -3.4966 1.5441 -1.6030
Zn -0.7404 -1.4144 3.8251
Zn -2.8788 -2.9776 -0.1612
Pd -4.7629 -1.9750 1.3420
Pd -5.1903 1.1530 0.3447
Pd -3.2837 -0.8936 4.0995
Pd -0.9947 -3.9803 -1.6644
Pd 1.3436 -5.1072 -0.7055
Pd -4.1703 -0.9377 -1.1540
Pd -1.5873 -5.0176 0.8316
Pd -0.1081 -3.9362 3.5891
Pd -0.4593 -3.1720 -4.2561
Pd -3.3902 -3.0823 -2.7190
Pd -2.3674 -2.8729 2.3967
Pd -3.8176 0.0456 -3.7163
CELL_PARAMETERS angstrom
-6.9932 3.0882 -3.2059
2.7163 -6.2146 -4.7665
-1.4808 -2.8288 7.6501
```

***

Computed, not measured: a relaxed Ca6ZnPd crystal at the GGA-PBE level of DFT. Values from VASP.

Calculated values
As for the formation energy: -179 meV/atom. As for the magnetization: 0.0 μB/f.u.

Quantum ESPRESSO input file:
```
&SYSTEM
  ibrav = 0, nat = 8, ntyp = 3
/
ATOMIC_SPECIES
Ca 40.08 Ca.upf
Zn 65.41 Zn.upf
Pd 106.42 Pd.upf
ATOMIC_POSITIONS angstrom
Ca 6.4670 1.4843 11.1546
Ca 4.1698 -0.5871 8.2630
Ca 1.1081 1.2730 2.1761
Ca 5.4535 5.3689 7.7435
Ca 3.1563 3.2975 4.8520
Ca 8.5151 3.5088 13.8304
Zn 4.8116 2.3909 8.0033
Pd 0.0000 0.0000 0.0000
CELL_PARAMETERS angstrom
5.1280 -0.0201 3.3230
2.7214 5.8995 2.9811
1.7739 -1.0977 9.7024
```

***

Computed, not measured: a relaxed Ca3ZnPd crystal at the GGA-PBE level of DFT. Values from VASP.

Calculated values
The calculation puts the energy above the most stable polymorph in this dataset at 0.0 meV per atom. As for the formation energy: -407 meV/atom. As for the magnetization: 0.0 μB/f.u.

Quantum ESPRESSO input file:
```
&SYSTEM
  ibrav = 0, nat = 10, ntyp = 3
/
ATOMIC_SPECIES
Ca 40.08 Ca.upf
Zn 65.41 Zn.upf
Pd 106.42 Pd.upf
ATOMIC_POSITIONS angstrom
Ca -0.5789 -5.5344 2.0897
Ca -0.8347 -2.5401 4.2620
Ca -3.8260 -3.2095 6.4070
Ca 1.2683 -5.7450 5.4562
Ca 2.4123 -4.8650 -0.0553
Ca -2.6819 -2.3296 0.8954
Zn 2.6125 -6.2683 2.6377
Zn -4.0261 -1.8062 3.7140
Pd 0.3806 -2.7588 1.1159
Pd -1.7943 -5.3157 5.2358
CELL_PARAMETERS angstrom
-3.2596 -2.5423 -1.0825
5.0474 -6.2812 -0.4469
-3.2015 0.7490 7.8811
```

***

Computed, not measured: a relaxed Ca4Zn3Pd crystal at the GGA-PBE level of DFT. Values from VASP.

Calculated values
As for the formation energy: -385 meV/atom. As for the magnetization: 0.0 μB/f.u.

Quantum ESPRESSO input file:
```
&SYSTEM
  ibrav = 0, nat = 8, ntyp = 3
/
ATOMIC_SPECIES
Ca 40.08 Ca.upf
Zn 65.41 Zn.upf
Pd 106.42 Pd.upf
ATOMIC_POSITIONS angstrom
Ca 2.0702 2.2214 3.8903
Ca 0.0000 2.2214 9.6783
Ca 0.0000 0.0000 1.5857
Ca 2.0702 0.0000 7.2383
Zn 0.0000 2.2214 6.3209
Zn 0.0000 0.0000 4.8710
Zn 2.0702 0.0000 10.5001
Pd 2.0702 2.2214 0.7215
CELL_PARAMETERS angstrom
4.1405 0.0000 0.0000
0.0000 4.4428 0.0000
0.0000 0.0000 11.2015
```

***

Computed, not measured: a relaxed Ca3Zn4Pd8 crystal at the GGA-PBE level of DFT. Values from VASP.

Calculated values
As for the formation energy: -591 meV/atom. As for the magnetization: 0.0 μB/f.u.

Quantum ESPRESSO input file:
```
&SYSTEM
  ibrav = 0, nat = 30, ntyp = 3
/
ATOMIC_SPECIES
Ca 40.08 Ca.upf
Zn 65.41 Zn.upf
Pd 106.42 Pd.upf
ATOMIC_POSITIONS angstrom
Ca -4.2983 4.8043 11.2641
Ca 0.0630 1.4218 9.6228
Ca -1.5538 4.9005 8.2580
Ca -2.6815 1.3256 12.6289
Ca -0.3244 4.6076 12.1285
Ca -3.9110 1.6185 8.7583
Zn 0.0000 0.0000 0.0000
Zn -3.4861 3.4391 6.1352
Zn 1.3685 -0.3260 4.3083
Zn -0.4312 3.5461 2.7891
Zn -1.6865 -0.4331 7.6543
Zn 0.9373 3.2201 7.0974
Zn -3.0549 -0.1071 3.3460
Zn -2.1177 3.1130 10.4434
Pd -0.9565 4.4406 5.4074
Pd -3.2789 1.7855 15.4794
Pd 0.9187 0.4059 6.9904
Pd -0.5072 0.7456 2.5012
Pd -5.1540 5.8202 13.8965
Pd -3.7281 5.4805 18.3856
Pd -3.6904 0.6340 5.9878
Pd -0.5450 5.5921 14.8991
Pd -1.1221 -0.2271 5.1069
Pd -3.1132 6.4532 15.7800
Pd -2.2818 2.2681 4.1279
Pd -1.4000 2.0580 6.9042
Pd -1.9535 3.9580 16.7589
Pd -2.8353 4.1680 13.9827
Pd 0.5686 2.1270 4.7480
Pd -4.8040 4.0990 16.1389
CELL_PARAMETERS angstrom
-0.8624 7.0923 5.5782
-6.1099 -0.2141 6.6921
2.7369 -0.6520 8.6165
```

***

Computed, not measured: a relaxed Ca2Zn2Pd crystal at the GGA-PBE level of DFT. Values from VASP.

Calculated values
The calculation puts the energy above the most stable polymorph in this dataset at 10.4 meV per atom. As for the formation energy: -458 meV/atom. As for the magnetization: 0.0 μB/f.u.

Quantum ESPRESSO input file:
```
&SYSTEM
  ibrav = 0, nat = 10, ntyp = 3
/
ATOMIC_SPECIES
Ca 40.08 Ca.upf
Zn 65.41 Zn.upf
Pd 106.42 Pd.upf
ATOMIC_POSITIONS angstrom
Ca 2.2595 1.4880 0.7871
Ca -0.6805 3.4149 1.8640
Ca 0.6805 3.4749 5.7881
Ca 3.6205 1.5480 4.7112
Zn 2.2275 3.7153 3.0059
Zn -0.7125 1.3075 7.4934
Zn 0.7125 1.2476 3.5693
Zn 3.6525 3.6554 -0.9182
Pd 4.9214 0.0300 1.9621
Pd 0.9587 0.0900 5.8862
CELL_PARAMETERS angstrom
5.8800 0.0000 0.0000
-2.9400 4.8429 -1.2730
0.0000 0.1200 7.8482
```

***

Computed, not measured: a relaxed CaZn3Pd crystal at the GGA-PBE level of DFT. Values from VASP.

Calculated values
The calculation puts the energy above the most stable polymorph in this dataset at 1436.7 meV per atom. As for the formation energy: 1045 meV/atom. As for the magnetization: 0.0 μB/f.u.

Quantum ESPRESSO input file:
```
&SYSTEM
  ibrav = 0, nat = 5, ntyp = 3
/
ATOMIC_SPECIES
Zn 65.41 Zn.upf
Ca 40.08 Ca.upf
Pd 106.42 Pd.upf
ATOMIC_POSITIONS angstrom
Zn 1.0826 -0.2104 2.4750
Zn -2.4754 0.1313 1.0940
Zn -0.2049 -2.6982 -0.1397
Ca 0.0000 0.0000 0.0000
Pd -1.5977 -2.7772 3.4292
CELL_PARAMETERS angstrom
-0.4098 -5.3964 -0.2794
2.1652 -0.4208 4.9499
-4.9508 0.2627 2.1879
```

***

Computed, not measured: a relaxed Ca4ZnPd crystal at the GGA-PBE level of DFT. Values from VASP.

Calculated values
The calculation puts the energy above the most stable polymorph in this dataset at 63.3 meV per atom. As for the formation energy: -270 meV/atom. As for the magnetization: 0.0 μB/f.u.

Quantum ESPRESSO input file:
```
&SYSTEM
  ibrav = 0, nat = 6, ntyp = 3
/
ATOMIC_SPECIES
Ca 40.08 Ca.upf
Zn 65.41 Zn.upf
Pd 106.42 Pd.upf
ATOMIC_POSITIONS angstrom
Ca 2.5618 5.0974 1.8343
Ca 2.5652 5.1047 5.3394
Ca 0.0108 2.5484 5.3405
Ca 0.0068 2.5422 1.8359
Zn 2.5657 2.5488 7.1895
Pd 0.0088 5.1009 3.5878
CELL_PARAMETERS angstrom
5.1095 0.0001 -0.0010
0.0000 5.1113 -0.0013
0.0044 0.0070 7.2043
```

***

Computed, not measured: a relaxed Ca2Zn2Pd crystal at the GGA-PBE level of DFT. Values from VASP.

Calculated values
The calculation puts the energy above the most stable polymorph in this dataset at 255.0 meV per atom. As for the formation energy: -213 meV/atom. As for the magnetization: 0.0 μB/f.u.

Quantum ESPRESSO input file:
```
&SYSTEM
  ibrav = 0, nat = 5, ntyp = 3
/
ATOMIC_SPECIES
Zn 65.41 Zn.upf
Ca 40.08 Ca.upf
Pd 106.42 Pd.upf
ATOMIC_POSITIONS angstrom
Zn 2.8823 2.8823 1.1844
Zn 5.7646 5.7646 2.5088
Ca 5.7646 2.8823 1.8466
Ca 2.8823 5.7646 1.8466
Pd 0.0000 0.0000 0.0000
CELL_PARAMETERS angstrom
5.7646 0.0000 0.0000
0.0000 5.7646 0.0000
2.8823 2.8823 3.6932
```